# 1
A plane-wave DFT calculation with PBE-GGA was carried out for a geometry-optimized ScZnIr2 structure.

```
data_ScZnIr2
_symmetry_space_group_name_H-M 'F -4 3 m'
_symmetry_Int_Tables_number 216
_symmetry_space_group_name_Hall 'F -4 2 3'
_cell_length_a 6.332
_cell_length_b 6.332
_cell_length_c 6.332
_cell_angle_alpha 90.00
_cell_angle_beta 90.00
_cell_angle_gamma 90.00
loop_
_atom_site_label
_atom_site_fract_x
_atom_site_fract_y
_atom_site_fract_z
Sc1 0.000 0.000 0.000
Zn1 0.250 0.250 0.750
Ir1 0.000 0.000 0.500
Ir2 0.250 0.250 0.250
```

Summary:
Crystal system: cubic



# 2
A plane-wave DFT calculation with PBE-GGA was carried out for a geometry-optimized ScZnIr2 structure.

```
data_ScZnIr2
_symmetry_space_group_name_H-M 'R -3 m'
_symmetry_Int_Tables_number 166
_symmetry_space_group_name_Hall '-R 3 2"'
_cell_length_a 2.9880
_cell_length_b 2.9880
_cell_length_c 24.7052
_cell_angle_alpha 90.00
_cell_angle_beta 90.00
_cell_angle_gamma 120.00
loop_
_atom_site_label
_atom_site_fract_x
_atom_site_fract_y
_atom_site_fract_z
Sc1 0.0000 0.0000 0.0000
Zn1 0.0000 0.0000 0.5000
Ir1 0.0000 0.0000 0.2486
```

Summary:
Crystal system: trigonal



| no. | ΔE_f (eV/atom) | DFT total energy (eV/atom) |
| --- | --- | --- |
| 1 | -0.273 | -6.6051 |
| 2 | -0.315 | -6.6466 |